Compound: TlBiO
Source: Alexandria
Functional: PBE
Structure: relaxed

Its spin magnetization is 0.000 μB/atom. The formation energy (no corrections) comes out at -0.45 eV/atom. The density of states at the Fermi level comes out at 1.79 states/eV/cell.

It has space group Pnma (No. 62), with a = 14.4407 Å, b = 3.4626 Å, c = 5.9441 Å, α = 90.00°, β = 90.00° and γ = 90.00°. Symmetry generates all atoms from Tl at (0.1806, 0.2500, 0.1793), Bi at (0.0647, 0.7500, 0.6801) and O at (0.1710, 0.2500, 0.6293).